# ReTcW2 (PBE, optimized geometry)
data_ReTcW2
_cell_length_a 2.7709
_cell_length_b 2.7709
_cell_length_c 28.3015
_cell_angle_alpha 90.00
_cell_angle_beta 90.00
_cell_angle_gamma 120.00
_space_group_name_H-M_alt 'R 3 m'
_space_group_IT_number 160
_space_group_name_Hall 'R 3 -2"'
loop_
_atom_site_label
_atom_site_fract_x
_atom_site_fract_y
_atom_site_fract_z
_atom_site_occupancy
Re1 0.0000 0.0000 0.0000 1
Tc1 0.0000 0.0000 0.2564 1
W1 0.0000 0.0000 0.5061 1
W2 0.0000 0.0000 0.7514 1
# Excess energy over the best structure of this formula in the dataset (eV per atom): 0.165
# N(E_F) (states/eV per cell): 11.409
# E_tot (eV/atom): -11.939
# E_form (eV per atom): 0.241